[1]
DFT (PBE-GGA) results for a geometry-optimized BaTa3W structure.

Results
The calculated volume is 129.63 Å³ per cell. As for the formation enthalpy at 0 K: 1.3130 eV/atom. The total energy is -43.9 eV/cell. As for the energy relative to the lowest polymorph listed for this composition: 0 meV/atom.

Unit cell a=5.061 b=5.061 c=5.061 alpha=90.00 beta=90.00 gamma=90.00
Fractional coordinates of all 5 atoms:
Ba  0.000  0.000  0.000
Ta  0.000  0.500  0.500
Ta  0.500  0.000  0.500
Ta  0.500  0.500  0.000
W  0.500  0.500  0.500

[2]
DFT (PBE-GGA) results for a geometry-optimized Ba2TaW structure.

Results
The calculated volume is 106.70 Å³ per cell. As for the formation enthalpy at 0 K: 1.5133 eV/atom. The total energy is -22.6 eV/cell. As for the energy relative to the lowest polymorph listed for this composition: 830 meV/atom.

Unit cell a=4.305 b=4.305 c=5.758 alpha=90.00 beta=90.00 gamma=90.00
Fractional coordinates of all 4 atoms:
Ba  0.000  0.500  0.000
Ba  0.500  0.000  0.000
Ta  0.000  0.000  0.500
W  0.500  0.500  0.500

[3]
DFT (PBE-GGA) results for a geometry-optimized BaTaW structure.

Results
The calculated volume is 284.89 Å³ per cell. As for the formation enthalpy at 0 K: 0.9634 eV/atom. The total energy is -95.4 eV/cell. As for the energy relative to the lowest polymorph listed for this composition: 128 meV/atom.

Unit cell a=3.434 b=5.122 c=16.196 alpha=90.00 beta=90.00 gamma=90.00
Fractional coordinates of all 12 atoms:
Ba  0.000  0.000  0.000
Ba  0.000  0.500  0.500
Ba  0.500  0.000  0.500
Ba  0.500  0.500  0.000
Ta  0.000  0.000  0.302
Ta  0.000  0.500  0.802
Ta  0.500  0.000  0.802
Ta  0.500  0.500  0.302
W  0.000  0.000  0.684
W  0.000  0.500  0.184
W  0.500  0.000  0.184
W  0.500  0.500  0.684

[4]
DFT (PBE-GGA) results for a geometry-optimized Ba2TaW structure.

Results
The calculated volume is 290.13 Å³ per cell. As for the formation enthalpy at 0 K: 0.8599 eV/atom. The total energy is -50.4 eV/cell. As for the energy relative to the lowest polymorph listed for this composition: 177 meV/atom.

Unit cell a=8.781 b=3.452 c=9.579 alpha=90.00 beta=92.28 gamma=90.00
Fractional coordinates of all 8 atoms:
Ba  0.000  0.000  0.000
Ba  0.217  0.000  0.564
Ba  0.500  0.500  0.000
Ba  0.717  0.500  0.564
Ta  0.253  0.500  0.252
Ta  0.753  0.000  0.252
W  0.473  0.000  0.315
W  0.973  0.500  0.315

[5]
DFT (PBE-GGA) results for a geometry-optimized BaTaW4 structure.

Results
The calculated volume is 118.58 Å³ per cell. As for the formation enthalpy at 0 K: 0.8848 eV/atom. The total energy is -60.3 eV/cell.

Unit cell a=5.514 b=5.514 c=5.514 alpha=60.00 beta=60.00 gamma=60.00
Fractional coordinates of all 6 atoms:
Ba  0.000  0.000  0.000
Ta  0.750  0.750  0.750
W  0.375  0.375  0.375
W  0.375  0.375  0.875
W  0.375  0.875  0.375
W  0.875  0.375  0.375

[6]
DFT (PBE-GGA) results for a geometry-optimized Ba3TaW structure.

Results
The calculated volume is 209.83 Å³ per cell. As for the formation enthalpy at 0 K: 1.8575 eV/atom. The total energy is -21.3 eV/cell. As for the energy relative to the lowest polymorph listed for this composition: 0 meV/atom.

Unit cell a=5.942 b=5.942 c=5.942 alpha=90.00 beta=90.00 gamma=90.00
Fractional coordinates of all 5 atoms:
Ba  0.000  0.000  0.500
Ba  0.000  0.500  0.000
Ba  0.500  0.000  0.000
Ta  0.500  0.500  0.500
W  0.000  0.000  0.000

[7]
DFT (PBE-GGA) results for a geometry-optimized Ba2TaW structure.

Results
The calculated volume is 753.61 Å³ per cell. As for the formation enthalpy at 0 K: 1.4126 eV/atom. The total energy is -92.0 eV/cell. As for the energy relative to the lowest polymorph listed for this composition: 730 meV/atom.

Unit cell a=12.489 b=12.489 c=4.832 alpha=90.00 beta=90.00 gamma=90.00
Fractional coordinates of all 16 atoms:
Ba  0.059  0.750  0.125
Ba  0.250  0.059  0.875
Ba  0.250  0.441  0.375
Ba  0.441  0.750  0.625
Ba  0.559  0.250  0.625
Ba  0.750  0.559  0.375
Ba  0.750  0.941  0.875
Ba  0.941  0.250  0.125
Ta  0.000  0.000  0.500
Ta  0.000  0.500  0.750
Ta  0.500  0.000  0.250
Ta  0.500  0.500  0.000
W  0.000  0.000  0.000
W  0.000  0.500  0.250
W  0.500  0.000  0.750
W  0.500  0.500  0.500

[8]
DFT (PBE-GGA) results for a geometry-optimized Ba2TaW structure.

Results
The calculated volume is 129.65 Å³ per cell. As for the formation enthalpy at 0 K: 0.6831 eV/atom. The total energy is -25.9 eV/cell. As for the energy relative to the lowest polymorph listed for this composition: 0 meV/atom.

Unit cell a=3.540 b=3.617 c=10.275 alpha=90.00 beta=99.80 gamma=90.00
Fractional coordinates of all 4 atoms:
Ba  0.000  0.000  0.000
Ba  0.200  0.500  0.393
Ta  0.370  0.500  0.738
W  0.822  0.000  0.642

[9]
DFT (PBE-GGA) results for a geometry-optimized BaTaW structure.

Results
The calculated volume is 156.41 Å³ per cell. As for the formation enthalpy at 0 K: 0.8352 eV/atom. The total energy is -48.4 eV/cell. As for the energy relative to the lowest polymorph listed for this composition: 0 meV/atom.

Unit cell a=3.449 b=3.449 c=13.147 alpha=90.00 beta=90.00 gamma=90.00
Fractional coordinates of all 6 atoms:
Ba  0.000  0.000  0.000
Ba  0.500  0.500  0.500
Ta  0.000  0.000  0.281
Ta  0.500  0.500  0.781
W  0.000  0.000  0.698
W  0.500  0.500  0.198

[10]
DFT (PBE-GGA) results for a geometry-optimized Ba2TaW structure.

Results
The calculated volume is 214.59 Å³ per cell. As for the formation enthalpy at 0 K: 1.5412 eV/atom. The total energy is -45.0 eV/cell. As for the energy relative to the lowest polymorph listed for this composition: 858 meV/atom.

Unit cell a=4.299 b=4.311 c=11.580 alpha=90.00 beta=90.00 gamma=90.00
Fractional coordinates of all 8 atoms:
Ba  0.000  0.000  0.242
Ba  0.000  0.000  0.758
Ba  0.500  0.500  0.242
Ba  0.500  0.500  0.758
Ta  0.000  0.500  0.500
Ta  0.500  0.000  0.500
W  0.000  0.500  0.000
W  0.500  0.000  0.000

[11]
DFT (PBE-GGA) results for a geometry-optimized Ba2TaW structure.

Results
The calculated volume is 278.61 Å³ per cell. As for the formation enthalpy at 0 K: 0.8797 eV/atom. The total energy is -50.3 eV/cell. As for the energy relative to the lowest polymorph listed for this composition: 197 meV/atom.

Unit cell a=19.955 b=3.376 c=4.227 alpha=90.00 beta=101.96 gamma=90.00
Fractional coordinates of all 8 atoms:
Ba  0.150  0.000  0.147
Ba  0.350  0.500  0.853
Ba  0.650  0.500  0.147
Ba  0.850  0.000  0.853
Ta  0.000  0.000  0.500
Ta  0.500  0.500  0.500
W  0.000  0.500  0.000
W  0.500  0.000  0.000

[12]
DFT (PBE-GGA) results for a geometry-optimized Ba2TaW structure.

Results
The calculated volume is 439.53 Å³ per cell. As for the formation enthalpy at 0 K: 1.9837 eV/atom. The total energy is -82.9 eV/cell. As for the energy relative to the lowest polymorph listed for this composition: 1301 meV/atom.

Unit cell a=7.603 b=7.603 c=7.603 alpha=90.00 beta=90.00 gamma=90.00
Fractional coordinates of all 16 atoms:
Ba  0.250  0.250  0.250
Ba  0.250  0.250  0.750
Ba  0.250  0.750  0.250
Ba  0.250  0.750  0.750
Ba  0.750  0.250  0.250
Ba  0.750  0.250  0.750
Ba  0.750  0.750  0.250
Ba  0.750  0.750  0.750
Ta  0.000  0.000  0.000
Ta  0.000  0.500  0.500
Ta  0.500  0.000  0.500
Ta  0.500  0.500  0.000
W  0.000  0.000  0.500
W  0.000  0.500  0.000
W  0.500  0.000  0.000
W  0.500  0.500  0.500

[13]
DFT (PBE-GGA) results for a geometry-optimized BaTaW structure.

Results
The calculated volume is 310.02 Å³ per cell. As for the formation enthalpy at 0 K: 1.5974 eV/atom. The total energy is -87.7 eV/cell. As for the energy relative to the lowest polymorph listed for this composition: 762 meV/atom.

Unit cell a=6.768 b=6.768 c=6.768 alpha=90.00 beta=90.00 gamma=90.00
Fractional coordinates of all 12 atoms:
Ba  0.000  0.000  0.000
Ba  0.000  0.500  0.500
Ba  0.500  0.000  0.500
Ba  0.500  0.500  0.000
Ta  0.000  0.000  0.500
Ta  0.000  0.500  0.000
Ta  0.500  0.000  0.000
Ta  0.500  0.500  0.500
W  0.250  0.250  0.750
W  0.250  0.750  0.250
W  0.750  0.250  0.250
W  0.750  0.750  0.750

[14]
DFT (PBE-GGA) results for a geometry-optimized Ba2YTa structure.

Results
The calculated volume is 152.92 Å³ per cell. As for the formation enthalpy at 0 K: 0.6329 eV/atom. The total energy is -19.6 eV/cell. As for the energy relative to the lowest polymorph listed for this composition: 13 meV/atom.

Unit cell a=3.662 b=4.338 c=9.625 alpha=90.00 beta=90.00 gamma=90.00
Fractional coordinates of all 4 atoms:
Ba  0.000  0.000  0.000
Ba  0.500  0.500  0.368
Y  0.000  0.000  0.630
Ta  0.500  0.500  0.762

[15]
DFT (PBE-GGA) results for a geometry-optimized Ba2YTa structure.

Results
The calculated volume is 275.55 Å³ per cell. As for the formation enthalpy at 0 K: 0.9739 eV/atom. The total energy is -36.5 eV/cell. As for the energy relative to the lowest polymorph listed for this composition: 354 meV/atom.

Unit cell a=5.022 b=5.022 c=10.925 alpha=90.00 beta=90.00 gamma=90.00
Fractional coordinates of all 8 atoms:
Ba  0.000  0.500  0.250
Ba  0.000  0.500  0.750
Ba  0.500  0.000  0.250
Ba  0.500  0.000  0.750
Y  0.000  0.000  0.000
Y  0.500  0.500  0.500
Ta  0.000  0.000  0.500
Ta  0.500  0.500  0.000